[1]
VASP calculation (GGA-PBEsol) on a geometry-optimized PbO structure.

a = 5.912 Å, b = 5.528 Å, c = 4.711 Å
α = 90.00°, β = 90.00°, γ = 90.00°
Space group Pbcm (No. 57)
Unique sites:
Pb 0.231 0.011 0.250 x4
O 0.136 0.092 0.750 x4

[2]
VASP calculation (GGA-PBEsol) on a geometry-optimized Pd2PbO4 structure.

a = 5.829 Å, b = 5.829 Å, c = 10.016 Å
α = 90.00°, β = 90.00°, γ = 90.00°
Space group I4_1/a (No. 88, origin choice 2)
Unique sites:
Pd 0.000 0.000 0.000 x8
Pb 0.000 0.250 0.625 x4
O 0.159 0.450 0.827 x16

[3]
VASP calculation (GGA-PBEsol) on a geometry-optimized Rb2PdPbO structure.

a = 6.783 Å, b = 6.783 Å, c = 4.349 Å
α = 90.00°, β = 90.00°, γ = 90.00°
Space group P4/mmm (No. 123)
Unique sites:
Rb 0.000 0.500 0.000 x2
Pd 0.000 0.000 0.500 x1
Pb 0.500 0.500 0.000 x1
O 0.500 0.500 0.500 x1

[4]
VASP calculation (GGA-PBEsol) on a geometry-optimized PtPb2O4 structure.

a = 7.042 Å, b = 9.448 Å, c = 6.415 Å
α = 90.00°, β = 90.00°, γ = 90.00°
Space group Pbam (No. 55)
Unique sites:
Pt 0.000 0.000 0.248 x4
Pb 0.048 0.321 0.500 x4
Pb 0.110 0.672 0.000 x4
O 0.133 0.912 0.500 x4
O 0.145 0.921 0.000 x4
O 0.155 0.179 0.246 x8

[5]
VASP calculation (GGA-PBEsol) on a geometry-optimized PtPb3O structure.

a = 4.814 Å, b = 4.814 Å, c = 4.814 Å
α = 90.00°, β = 90.00°, γ = 90.00°
Space group Pm-3m (No. 221)
Unique sites:
Pt 0.000 0.000 0.000 x1
Pb 0.000 0.500 0.500 x3
O 0.500 0.500 0.500 x1

[6]
VASP calculation (GGA-PBEsol) on a geometry-optimized ZnPtPbO2 structure.

a = 3.953 Å, b = 3.953 Å, c = 5.035 Å
α = 90.00°, β = 90.00°, γ = 90.00°
Space group P4/mmm (No. 123)
Unique sites:
Zn 0.000 0.000 0.000 x1
Pt 0.000 0.000 0.500 x1
Pb 0.500 0.500 0.000 x1
O 0.000 0.500 0.500 x2

[7]
VASP calculation (GGA-PBEsol) on a geometry-optimized RbPb3O structure.

a = 5.159 Å, b = 5.159 Å, c = 5.159 Å
α = 90.00°, β = 90.00°, γ = 90.00°
Space group Pm-3m (No. 221)
Unique sites:
Rb 0.000 0.000 0.000 x1
Pb 0.000 0.500 0.500 x3
O 0.500 0.500 0.500 x1

[8]
VASP calculation (GGA-PBEsol) on a geometry-optimized Rb2Pb2O3 structure.

a = 8.708 Å, b = 8.708 Å, c = 8.708 Å
α = 90.00°, β = 90.00°, γ = 90.00°
Space group I2_13 (No. 199)
Unique sites:
Rb 0.017 0.017 0.017 x8
Pb 0.249 0.249 0.249 x8
O 0.000 0.250 0.278 x12

Listing total DFT energy (no corrections) for the structures above in their given order: -5.703 -6.006 -3.116 -6.024 -4.919 -4.629 -3.852 -4.919 eV per atom.
Listing ΔE_f (raw) for the structures above in their given order: -1.079 -0.733 0.336 -0.887 -0.077 -0.020 -0.198 -1.234 eV/atom.